Compound: BeV2In
Source: Alexandria via LeMat-Bulk
Functional: PBE
Structure: optimized geometry

a b c (Å): 6.8973 6.8973 5.4934
angles (deg): 51.11 51.11 90.00
Atoms (fractional coordinates):
V 0.8750 0.8438 0.7500
V 0.3750 0.4062 0.7500
V 0.5938 0.1250 0.2500
V 0.1562 0.6250 0.2500
In 0.7500 0.2500 0.5000
In 0.0000 0.0000 0.0000
Be 0.2500 0.7500 0.5000
Be 0.5000 0.5000 0.0000

Properties
For the formation energy, the calculation gives 0.5812 eV/atom. The energy above the most stable polymorph in this dataset comes out at 0.80 eV per formula unit. The density of states at the Fermi level is 4.4 states/eV/f.u. The calculation puts the density at 6.233 Mg/m³.


Compound: LiTlIr
Source: Alexandria via LeMat-Bulk
Functional: PBE
Structure: optimized geometry

a b c (Å): 4.3890 4.3890 2.9797
angles (deg): 90.00 90.00 120.00
Atoms (fractional coordinates):
Li 0.6667 0.3333 0.3397
Ir 0.0000 0.0000 0.0526
Tl 0.3333 0.6667 0.6077

Properties
For the formation energy, the calculation gives 0.1197 eV/atom. The energy above the most stable polymorph in this dataset comes out at 0.03 eV per formula unit. The density of states at the Fermi level is 0.9 states/eV/f.u. The calculation puts the density at 13.480 Mg/m³.


Compound: NdMg2Pd9
Source: Alexandria via LeMat-Bulk
Functional: PBE
Structure: optimized geometry

a b c (Å): 4.1005 4.1005 11.8802
angles (deg): 90.00 90.00 90.00
Atoms (fractional coordinates):
Pd 0.0000 0.5000 0.8181
Pd 0.0000 0.5000 0.5000
Pd 0.5000 0.0000 0.5000
Pd 0.5000 0.0000 0.1819
Pd 0.0000 0.5000 0.1819
Pd 0.5000 0.5000 0.3412
Pd 0.5000 0.0000 0.8181
Pd 0.5000 0.5000 0.0000
Pd 0.5000 0.5000 0.6588
Mg 0.0000 0.0000 0.3419
Mg 0.0000 0.0000 0.6581
Nd 0.0000 0.0000 0.0000

Properties
For the formation energy, the calculation gives -0.5559 eV/atom. The density of states at the Fermi level is 12.9 states/eV/f.u. The calculation puts the density at 9.565 Mg/m³.


Compound: TcOsRu3
Source: Alexandria via LeMat-Bulk
Functional: PBE
Structure: optimized geometry

a b c (Å): 7.3585 6.4752 6.4752
angles (deg): 104.45 86.46 86.46
Atoms (fractional coordinates):
Ru 0.8415 0.0272 0.4566
Ru 0.5991 0.0688 0.7891
Ru 0.1585 0.9728 0.5434
Ru 0.6004 0.7397 0.4478
Ru 0.0991 0.7891 0.0688
Ru 0.8996 0.5522 0.2603
Ru 0.3996 0.2603 0.5522
Ru 0.6585 0.5434 0.9728
Ru 0.9009 0.2109 0.9312
Ru 0.1004 0.4478 0.7397
Ru 0.4009 0.9312 0.2109
Ru 0.3415 0.4566 0.0272
Tc 0.2500 0.0929 0.9071
Tc 0.7500 0.9071 0.0929
Tc 0.7500 0.4101 0.5899
Tc 0.2500 0.5899 0.4101
Os 0.1063 0.2219 0.2970
Os 0.8937 0.7781 0.7030
Os 0.6063 0.2970 0.2219
Os 0.3937 0.7030 0.7781

Properties
For the formation energy, the calculation gives 0.3292 eV/atom. The energy above the most stable polymorph in this dataset comes out at 1.22 eV per formula unit. The density of states at the Fermi level is 4.4 states/eV/f.u. The calculation puts the density at 13.216 Mg/m³.


Compound: LiAcCuPb
Source: Alexandria via LeMat-Bulk
Functional: PBE
Structure: optimized geometry

a b c (Å): 5.1237 5.1237 5.1237
angles (deg): 60.00 60.00 60.00
Atoms (fractional coordinates):
Li 0.5000 0.5000 0.5000
Ac 0.7500 0.7500 0.7500
Pb 0.2500 0.2500 0.2500
Cu 0.0000 0.0000 0.0000

Properties
For the formation energy, the calculation gives -0.2243 eV/atom. The density of states at the Fermi level is 2.1 states/eV/f.u. The calculation puts the density at 8.811 Mg/m³.


Compound: TiVCrCo
Source: Alexandria via LeMat-Bulk
Functional: PBE
Structure: optimized geometry

a b c (Å): 2.9476 2.9476 5.8717
angles (deg): 90.00 90.00 90.00
Atoms (fractional coordinates):
Ti 0.5000 0.5000 0.6068
Cr 0.0000 0.0000 0.3439
Co 0.0000 0.0000 0.8628
V 0.5000 0.5000 0.1145

Properties
For the formation energy, the calculation gives -0.1815 eV/atom. The density of states at the Fermi level is 3.9 states/eV/f.u. The calculation puts the density at 6.827 Mg/m³.


> The lowest density belongs to which entry?

BeV2In


> Look up the density of the fifth one.

8.811 Mg/m³


What did the third record say?
Compound: NdMg2Pd9
Source: Alexandria via LeMat-Bulk
Functional: PBE
Structure: optimized geometry

a b c (Å): 4.1005 4.1005 11.8802
angles (deg): 90.00 90.00 90.00
Atoms (fractional coordinates):
Pd 0.0000 0.5000 0.8181
Pd 0.0000 0.5000 0.5000
Pd 0.5000 0.0000 0.5000
Pd 0.5000 0.0000 0.1819
Pd 0.0000 0.5000 0.1819
Pd 0.5000 0.5000 0.3412
Pd 0.5000 0.0000 0.8181
Pd 0.5000 0.5000 0.0000
Pd 0.5000 0.5000 0.6588
Mg 0.0000 0.0000 0.3419
Mg 0.0000 0.0000 0.6581
Nd 0.0000 0.0000 0.0000

Properties
For the formation energy, the calculation gives -0.5559 eV/atom. The density of states at the Fermi level is 12.9 states/eV/f.u. The calculation puts the density at 9.565 Mg/m³.


> Among the records above, which one has the highest density?

LiTlIr